Record 1
LaMg2Cd: PBEsol geometry, meta-GGA SCAN.

The density of states at the Fermi level comes out at 2.25 states/eV/f.u.

Unit cell a=10.294 b=3.246 c=6.251 alpha=90.00 beta=100.20 gamma=90.00
Space group Cm (No. 8)
Inequivalent atoms, fractional coordinates:
La1 0.000 0.000 0.000 (multiplicity 2)
Mg1 0.235 0.000 0.696 (multiplicity 2)
Mg2 0.490 0.000 0.494 (multiplicity 2)
Cd1 0.255 0.500 0.278 (multiplicity 2)


Record 2
FeGeB2Ir: PBEsol geometry, meta-GGA SCAN.

The density of states at the Fermi level comes out at 2.71 states/eV/f.u.

Unit cell a=3.896 b=3.896 c=4.440 alpha=90.00 beta=90.00 gamma=90.00
Space group P4/mmm (No. 123)
Inequivalent atoms, fractional coordinates:
Fe1 0.000 0.000 0.000 (multiplicity 1)
Ge1 0.000 0.000 0.500 (multiplicity 1)
B1 0.000 0.500 0.500 (multiplicity 2)
Ir1 0.500 0.500 0.000 (multiplicity 1)


Record 3
AgPRu2: PBEsol geometry, meta-GGA SCAN.

The density of states at the Fermi level comes out at 3.13 states/eV/f.u.

Unit cell a=2.849 b=3.000 c=13.935 alpha=90.00 beta=90.00 gamma=90.00
Space group Imm2 (No. 44)
Inequivalent atoms, fractional coordinates:
Ag1 0.000 0.000 0.000 (multiplicity 2)
P1 0.000 0.500 0.757 (multiplicity 2)
Ru1 0.000 0.000 0.638 (multiplicity 2)
Ru2 0.000 0.500 0.331 (multiplicity 2)


Record 4
NbGeN2F: PBEsol geometry, meta-GGA SCAN.

The density of states at the Fermi level comes out at 0.81 states/eV/f.u.

Unit cell a=4.095 b=4.095 c=3.993 alpha=90.00 beta=90.00 gamma=90.00
Space group P4/mmm (No. 123)
Inequivalent atoms, fractional coordinates:
Nb1 0.000 0.000 0.000 (multiplicity 1)
Ge1 0.500 0.500 0.500 (multiplicity 1)
N1 0.000 0.500 0.000 (multiplicity 2)
F1 0.000 0.000 0.500 (multiplicity 1)


Record 5
KBaCr2: PBEsol geometry, meta-GGA SCAN.

The density of states at the Fermi level comes out at 2.12 states/eV/f.u.

Unit cell a=5.821 b=5.821 c=4.074 alpha=90.00 beta=90.00 gamma=90.00
Space group P4/mmm (No. 123)
Inequivalent atoms, fractional coordinates:
K1 0.000 0.000 0.000 (multiplicity 1)
Ba1 0.500 0.500 0.000 (multiplicity 1)
Cr1 0.000 0.500 0.500 (multiplicity 2)


Record 6
RbIn2As2: PBEsol geometry, meta-GGA SCAN.

The density of states at the Fermi level comes out at 1.57 states/eV/f.u.

Unit cell a=5.030 b=5.030 c=10.593 alpha=90.00 beta=90.00 gamma=90.00
Space group I4/mmm (No. 139)
Inequivalent atoms, fractional coordinates:
Rb1 0.000 0.000 0.000 (multiplicity 2)
In1 0.000 0.000 0.366 (multiplicity 4)
As1 0.000 0.500 0.250 (multiplicity 4)


Record 7
BaHg2P: PBEsol geometry, meta-GGA SCAN.

The density of states at the Fermi level comes out at 1.74 states/eV/f.u.

Unit cell a=10.961 b=4.090 c=5.328 alpha=90.00 beta=118.25 gamma=90.00
Space group C2/m (No. 12)
Inequivalent atoms, fractional coordinates:
Ba1 0.000 0.000 0.000 (multiplicity 2)
Hg1 0.208 0.000 0.705 (multiplicity 4)
P1 0.000 0.500 0.500 (multiplicity 2)


Record 8
MnCoRu: PBEsol geometry, meta-GGA SCAN.

The density of states at the Fermi level comes out at 3.14 states/eV/f.u.

Unit cell a=2.831 b=2.831 c=8.819 alpha=90.00 beta=90.00 gamma=90.00
Space group I4mm (No. 107)
Inequivalent atoms, fractional coordinates:
Mn1 0.000 0.000 0.000 (multiplicity 2)
Co1 0.000 0.000 0.351 (multiplicity 2)
Ru1 0.000 0.000 0.666 (multiplicity 2)


Record 9
As2Cl: PBEsol geometry, meta-GGA SCAN.

Unit cell a=10.500 b=3.591 c=8.436 alpha=90.00 beta=107.05 gamma=90.00
Space group C2/m (No. 12)
Inequivalent atoms, fractional coordinates:
As1 0.118 0.000 0.255 (multiplicity 4)
As2 0.124 0.500 0.051 (multiplicity 4)
Cl1 0.161 0.500 0.629 (multiplicity 4)


Record 10
YNiB4: PBEsol geometry, meta-GGA SCAN.

The density of states at the Fermi level comes out at 1.53 states/eV/f.u.

Unit cell a=7.465 b=7.465 c=8.471 alpha=90.00 beta=90.00 gamma=90.00
Space group I4/mmm (No. 139)
Inequivalent atoms, fractional coordinates:
Y1 0.000 0.000 0.202 (multiplicity 4)
Y2 0.000 0.500 0.250 (multiplicity 4)
Ni1 0.000 0.228 0.500 (multiplicity 8)
B1 0.112 0.276 0.000 (multiplicity 16)
B2 0.232 0.232 0.347 (multiplicity 16)


Record 11
Cu2Pt: PBEsol geometry, meta-GGA SCAN.

The density of states at the Fermi level comes out at 1.50 states/eV/f.u.

Unit cell a=4.564 b=5.890 c=6.396 alpha=111.79 beta=90.71 gamma=105.39
Space group P-1 (No. 2)
Inequivalent atoms, fractional coordinates:
Cu1 0.000 0.000 0.000 (multiplicity 1)
Cu2 0.078 0.759 0.585 (multiplicity 2)
Cu3 0.244 0.240 0.742 (multiplicity 2)
Cu4 0.334 0.005 0.341 (multiplicity 2)
Cu5 0.500 0.500 0.500 (multiplicity 1)
Pt1 0.170 0.511 0.182 (multiplicity 2)
Pt2 0.420 0.750 0.909 (multiplicity 2)


Record 12
FeAs2O7: PBEsol geometry, meta-GGA SCAN.

Unit cell a=6.500 b=7.601 c=4.665 alpha=90.00 beta=104.16 gamma=90.00
Space group C2 (No. 5)
Inequivalent atoms, fractional coordinates:
Fe1 0.000 0.000 0.000 (multiplicity 2)
As1 0.216 0.638 0.404 (multiplicity 4)
O1 0.000 0.533 0.500 (multiplicity 2)
O2 0.094 0.178 0.270 (multiplicity 4)
O3 0.133 0.847 0.301 (multiplicity 4)
O4 0.248 0.504 0.120 (multiplicity 4)


Record 13
Sc4Te: PBEsol geometry, meta-GGA SCAN.

The density of states at the Fermi level comes out at 3.52 states/eV/f.u.

Unit cell a=7.276 b=7.276 c=4.203 alpha=90.00 beta=90.00 gamma=90.00
Space group I4/m (No. 87)
Inequivalent atoms, fractional coordinates:
Sc1 0.115 0.311 0.000 (multiplicity 8)
Te1 0.000 0.000 0.500 (multiplicity 2)


Record 14
ScAsAuS2: PBEsol geometry, meta-GGA SCAN.

The density of states at the Fermi level comes out at 3.49 states/eV/f.u.

Unit cell a=4.710 b=4.710 c=5.180 alpha=90.00 beta=90.00 gamma=90.00
Space group P4/mmm (No. 123)
Inequivalent atoms, fractional coordinates:
Sc1 0.000 0.000 0.000 (multiplicity 1)
As1 0.500 0.500 0.500 (multiplicity 1)
Au1 0.000 0.000 0.500 (multiplicity 1)
S1 0.000 0.500 0.000 (multiplicity 2)


Record 15
Re2As: PBEsol geometry, meta-GGA SCAN.

The density of states at the Fermi level comes out at 1.60 states/eV/f.u.

Unit cell a=2.903 b=13.823 c=4.441 alpha=90.00 beta=90.00 gamma=90.00
Space group Cmcm (No. 63)
Inequivalent atoms, fractional coordinates:
Re1 0.000 0.042 0.250 (multiplicity 4)
Re2 0.000 0.294 0.750 (multiplicity 4)
As1 0.000 0.380 0.250 (multiplicity 4)


Record 16
CaTcNi3: PBEsol geometry, meta-GGA SCAN.

The density of states at the Fermi level comes out at 4.25 states/eV/f.u.

Unit cell a=4.470 b=4.470 c=4.470 alpha=90.00 beta=90.00 gamma=90.00
Space group Pm-3m (No. 221)
Inequivalent atoms, fractional coordinates:
Ca1 0.000 0.000 0.000 (multiplicity 1)
Tc1 0.500 0.500 0.500 (multiplicity 1)
Ni1 0.000 0.500 0.500 (multiplicity 3)


Record 17
KZn2Re: PBEsol geometry, meta-GGA SCAN.

The density of states at the Fermi level comes out at 1.94 states/eV/f.u.

Unit cell a=2.7807 b=2.7807 c=30.5926 alpha=90.00 beta=90.00 gamma=120.00
Space group R-3m (No. 166, hexagonal axes)
Inequivalent atoms, fractional coordinates:
K1 0.0000 0.0000 0.0000 (multiplicity 3)
Zn1 0.0000 0.0000 0.2387 (multiplicity 6)
Re1 0.0000 0.0000 0.5000 (multiplicity 3)


Record 18
TaCoSi: PBEsol geometry, meta-GGA SCAN.

The density of states at the Fermi level comes out at 0.75 states/eV/f.u.

Unit cell a=6.158 b=3.622 c=6.960 alpha=90.00 beta=90.00 gamma=90.00
Space group Pnma (No. 62)
Inequivalent atoms, fractional coordinates:
Ta1 0.020 0.250 0.180 (multiplicity 4)
Co1 0.141 0.250 0.564 (multiplicity 4)
Si1 0.225 0.750 0.382 (multiplicity 4)


Record 19
NaZrHgB2: PBEsol geometry, meta-GGA SCAN.

The density of states at the Fermi level comes out at 2.48 states/eV/f.u.

Unit cell a=4.340 b=4.340 c=4.708 alpha=90.00 beta=90.00 gamma=90.00
Space group P4/mmm (No. 123)
Inequivalent atoms, fractional coordinates:
Na1 0.000 0.000 0.000 (multiplicity 1)
Zr1 0.000 0.000 0.500 (multiplicity 1)
Hg1 0.500 0.500 0.500 (multiplicity 1)
B1 0.000 0.500 0.000 (multiplicity 2)


Record 20
Co3Au: PBEsol geometry, meta-GGA SCAN.

The density of states at the Fermi level comes out at 3.00 states/eV/f.u.

Unit cell a=2.632 b=3.486 c=5.285 alpha=90.00 beta=90.00 gamma=90.00
Space group Pmmm (No. 47)
Inequivalent atoms, fractional coordinates:
Co1 0.000 0.000 0.000 (multiplicity 1)
Co2 0.500 0.500 0.215 (multiplicity 2)
Au1 0.000 0.000 0.500 (multiplicity 1)


Record 21
Ce2Zn3Ge6: PBEsol geometry, meta-GGA SCAN.

The density of states at the Fermi level comes out at 9.50 states/eV/f.u.

Unit cell a=5.882 b=23.850 c=5.882 alpha=90.00 beta=90.00 gamma=90.00
Space group Cmcm (No. 63)
Inequivalent atoms, fractional coordinates:
Ce1 0.000 0.105 0.250 (multiplicity 4)
Ce2 0.000 0.394 0.250 (multiplicity 4)
Zn1 0.000 0.160 0.750 (multiplicity 4)
Zn2 0.229 0.500 0.000 (multiplicity 8)
Ge1 0.000 0.057 0.750 (multiplicity 4)
Ge2 0.000 0.427 0.750 (multiplicity 4)
Ge3 0.217 0.301 0.533 (multiplicity 16)


Record 22
YAl2GaB: PBEsol geometry, meta-GGA SCAN.

The density of states at the Fermi level comes out at 2.45 states/eV/f.u.

Unit cell a=5.090 b=5.090 c=3.815 alpha=90.00 beta=90.00 gamma=90.00
Space group P4/mmm (No. 123)
Inequivalent atoms, fractional coordinates:
Y1 0.000 0.000 0.000 (multiplicity 1)
Al1 0.000 0.500 0.500 (multiplicity 2)
Ga1 0.500 0.500 0.500 (multiplicity 1)
B1 0.500 0.500 0.000 (multiplicity 1)


Record 23
La2CCl: PBEsol geometry, meta-GGA SCAN.

The density of states at the Fermi level comes out at 1.51 states/eV/f.u.

Unit cell a=3.8095 b=3.8095 c=21.6312 alpha=90.00 beta=90.00 gamma=120.00
Space group R-3m (No. 166, hexagonal axes)
Inequivalent atoms, fractional coordinates:
La1 0.0000 0.0000 0.2323 (multiplicity 6)
C1 0.0000 0.0000 0.5000 (multiplicity 3)
Cl1 0.0000 0.0000 0.0000 (multiplicity 3)


Record 24
NiPt2Rh: PBEsol geometry, meta-GGA SCAN.

The density of states at the Fermi level comes out at 4.85 states/eV/f.u.

Unit cell a=2.700 b=3.749 c=5.361 alpha=90.00 beta=90.00 gamma=90.00
Space group Pmmm (No. 47)
Inequivalent atoms, fractional coordinates:
Ni1 0.000 0.000 0.000 (multiplicity 1)
Pt1 0.500 0.500 0.245 (multiplicity 2)
Rh1 0.000 0.000 0.500 (multiplicity 1)


Record 25
ZrAg2Hg: PBEsol geometry, meta-GGA SCAN.

The density of states at the Fermi level comes out at 2.55 states/eV/f.u.

Unit cell a=3.116 b=3.512 c=6.841 alpha=90.00 beta=90.00 gamma=90.00
Space group Pmm2 (No. 25)
Inequivalent atoms, fractional coordinates:
Zr1 0.000 0.000 0.000 (multiplicity 1)
Ag1 0.000 0.000 0.481 (multiplicity 1)
Ag2 0.500 0.500 0.256 (multiplicity 1)
Hg1 0.500 0.500 0.727 (multiplicity 1)


Record 26
LiMn2Cu: PBEsol geometry, meta-GGA SCAN.

The density of states at the Fermi level comes out at 2.37 states/eV/f.u.

Unit cell a=4.041 b=4.041 c=3.089 alpha=90.00 beta=90.00 gamma=90.00
Space group P4/mmm (No. 123)
Inequivalent atoms, fractional coordinates:
Li1 0.000 0.000 0.000 (multiplicity 1)
Mn1 0.000 0.500 0.500 (multiplicity 2)
Cu1 0.500 0.500 0.000 (multiplicity 1)


The calculation returns the following uncorrected energy values, one per record and in order: -20.99, -22.78, -27.78, -15.30, -20.39, -25.89, -46.97, -23.46, -16.42, -12.94, -33.64, -11.44, -19.24, -24.49, -53.79, -17.98, -26.08, -31.96, -21.47, -30.14, -22.63, -12.87, -27.31, -47.66, -40.48, -13.49 eV per atom.
The calculation returns the following calculated density values, one per record and in order: 4.8, 8.4, 9.5, 5.3, 3.4, 5.8, 9.0, 10.1, 4.0, 5.4, 14.0, 4.7, 4.6, 5.5, 16.7, 5.8, 8.7, 11.5, 6.3, 12.8, 7.3, 3.8, 6.0, 16.9, 11.3, 5.9 g/cm3.